[1]
A plane-wave DFT calculation with PBE was carried out for a relaxed structure of TbPmPd2.

POSCAR file:
```
TbPmPd2
1.0
4.584 0.000 0.000
0.000 1.912 5.352
0.000 -1.912 5.352
Tb Pm Pd
1 1 2
Direct
0.000 0.000 0.000 Tb
0.500 0.726 0.726 Pm
0.000 0.279 0.279 Pd
0.500 0.451 0.451 Pd
```

DFT formation energy = -0.87 eV per atom
E = -5.808 eV per atom
magnetization = 0.0 μB/cell
space group = No. 38

=====

[2]
A plane-wave DFT calculation with PBE was carried out for a relaxed structure of ReHg7.

POSCAR file:
```
ReHg7
1.0
0.000 4.393 4.393
4.393 0.000 4.393
4.393 4.393 0.000
Re Hg
1 7
Direct
0.000 0.000 0.000 Re
0.000 0.000 0.500 Hg
0.000 0.500 0.000 Hg
0.000 0.500 0.500 Hg
0.500 0.000 0.000 Hg
0.500 0.000 0.500 Hg
0.500 0.500 0.000 Hg
0.500 0.500 0.500 Hg
```

DFT formation energy = 0.50 eV per atom
E = -1.323 eV per atom
magnetization = 0.0 μB/cell
space group = No. 225